(1)
DFT (PBE) results for a relaxed structure of Na2SbCl4.

Cell and atoms, written as CIF:
```
data_Na2SbCl4
_cell_length_a 7.178
_cell_length_b 7.178
_cell_length_c 7.698
_cell_angle_alpha 90.00
_cell_angle_beta 90.00
_cell_angle_gamma 90.00
_space_group_name_H-M_alt 'I -4 2 m'
_space_group_IT_number 121
_space_group_name_Hall 'I -4 2'
loop_
_atom_site_label
_atom_site_type_symbol
_atom_site_fract_x
_atom_site_fract_y
_atom_site_fract_z
Na1 Na 0.000 0.500 0.250
Sb1 Sb 0.000 0.000 0.000
Cl1 Cl 0.242 0.242 0.561
```

Uncorrected formation energy in meV per atom: -1163
Total magnetization in μB/cell: 2.00



(2)
DFT (PBE) results for a relaxed structure of AcAsSe.

Cell and atoms, written as CIF:
```
data_AcAsSe
_cell_length_a 18.768
_cell_length_b 4.176
_cell_length_c 4.343
_cell_angle_alpha 90.00
_cell_angle_beta 90.00
_cell_angle_gamma 90.00
_space_group_name_H-M_alt 'P n m a'
_space_group_IT_number 62
_space_group_name_Hall '-P 2ac 2n'
loop_
_atom_site_label
_atom_site_type_symbol
_atom_site_fract_x
_atom_site_fract_y
_atom_site_fract_z
Ac1 Ac 0.142 0.250 0.224
As1 As 0.003 0.250 0.685
Se1 Se 0.186 0.750 0.727
```

Uncorrected formation energy in meV per atom: -1515
Total magnetization in μB/cell: 0.00



(3)
DFT (PBE) results for a relaxed structure of TmThZrPa.

Cell and atoms, written as CIF:
```
data_TmThZrPa
_cell_length_a 7.588
_cell_length_b 7.588
_cell_length_c 7.588
_cell_angle_alpha 90.00
_cell_angle_beta 90.00
_cell_angle_gamma 90.00
_space_group_name_H-M_alt 'F -4 3 m'
_space_group_IT_number 216
_space_group_name_Hall 'F -4 2 3'
loop_
_atom_site_label
_atom_site_type_symbol
_atom_site_fract_x
_atom_site_fract_y
_atom_site_fract_z
Tm1 Tm 0.000 0.000 0.000
Th1 Th 0.250 0.250 0.750
Zr1 Zr 0.250 0.250 0.250
Pa1 Pa 0.000 0.000 0.500
```

DOS at the Fermi energy in states/eV per cell: 44.9
ΔE_f in eV/atom: 0.293
Total magnetization in μB/cell: 0.00



(4)
DFT (PBE) results for a relaxed structure of RbYTl2Cl6.

Cell and atoms, written as CIF:
```
data_RbYTl2Cl6
_cell_length_a 7.8820
_cell_length_b 7.8820
_cell_length_c 20.1963
_cell_angle_alpha 90.00
_cell_angle_beta 90.00
_cell_angle_gamma 120.00
_space_group_name_H-M_alt 'R 3'
_space_group_IT_number 146
_space_group_name_Hall 'R 3'
loop_
_atom_site_label
_atom_site_type_symbol
_atom_site_fract_x
_atom_site_fract_y
_atom_site_fract_z
Rb1 Rb 0.0000 0.0000 0.0000
Y1 Y 0.0000 0.0000 0.4907
Tl1 Tl 0.0000 0.0000 0.2835
Tl2 Tl 0.0000 0.0000 0.7916
Cl1 Cl 0.0280 0.4069 0.2272
Cl2 Cl 0.0759 0.6810 0.0739
```

DOS at the Fermi energy in states/eV per cell: 0.0
Uncorrected formation energy in meV per atom: -1746
Total magnetization in μB/cell: 0.00



(5)
DFT (PBE) results for a relaxed structure of Ac2TlZn3Ga4.

Cell and atoms, written as CIF:
```
data_Ac2TlZn3Ga4
_cell_length_a 4.549
_cell_length_b 4.549
_cell_length_c 10.825
_cell_angle_alpha 90.00
_cell_angle_beta 90.00
_cell_angle_gamma 90.00
_space_group_name_H-M_alt 'P -4 m 2'
_space_group_IT_number 115
_space_group_name_Hall 'P -4 -2'
loop_
_atom_site_label
_atom_site_type_symbol
_atom_site_fract_x
_atom_site_fract_y
_atom_site_fract_z
Ac1 Ac 0.000 0.500 0.240
Tl1 Tl 0.000 0.000 0.500
Zn1 Zn 0.000 0.500 0.879
Zn2 Zn 0.500 0.500 0.500
Ga1 Ga 0.000 0.000 0.000
Ga2 Ga 0.000 0.500 0.647
Ga3 Ga 0.500 0.500 0.000
```

DOS at the Fermi energy in states/eV per cell: 1.5
ΔE_f in eV/atom: -0.409
Total magnetization in μB/cell: 0.00



(6)
DFT (PBE) results for a relaxed structure of Ni3Se3Br.

Cell and atoms, written as CIF:
```
data_Ni3Se3Br
_cell_length_a 8.3657
_cell_length_b 8.3657
_cell_length_c 4.9124
_cell_angle_alpha 90.00
_cell_angle_beta 90.00
_cell_angle_gamma 120.00
_space_group_name_H-M_alt 'P 63/m'
_space_group_IT_number 176
_space_group_name_Hall '-P 6c'
loop_
_atom_site_label
_atom_site_type_symbol
_atom_site_fract_x
_atom_site_fract_y
_atom_site_fract_z
Ni1 Ni 0.1482 0.8259 0.2500
Se1 Se 0.1475 0.8302 0.7500
Br1 Br 0.3333 0.6667 0.2500
```

DOS at the Fermi energy in states/eV per cell: 12.8
Uncorrected formation energy in meV per atom: -112
Total magnetization in μB/cell: 0.00



(7)
DFT (PBE) results for a relaxed structure of Er4Si3Ge.

Cell and atoms, written as CIF:
```
data_Er4Si3Ge
_cell_length_a 3.839
_cell_length_b 4.236
_cell_length_c 10.484
_cell_angle_alpha 90.00
_cell_angle_beta 90.00
_cell_angle_gamma 90.00
_space_group_name_H-M_alt 'P m m 2'
_space_group_IT_number 25
_space_group_name_Hall 'P 2 -2'
loop_
_atom_site_label
_atom_site_type_symbol
_atom_site_fract_x
_atom_site_fract_y
_atom_site_fract_z
Er1 Er 0.000 0.000 0.000
Er2 Er 0.000 0.500 0.496
Er3 Er 0.500 0.000 0.718
Er4 Er 0.500 0.500 0.219
Si1 Si 0.000 0.000 0.281
Si2 Si 0.500 0.000 0.436
Si3 Si 0.500 0.500 0.941
Ge1 Ge 0.000 0.500 0.777
```

DOS at the Fermi energy in states/eV per cell: 5.4
Uncorrected formation energy in meV per atom: -825
Total magnetization in μB/cell: 0.00



(8)
DFT (PBE) results for a relaxed structure of Cu2PCl.

Cell and atoms, written as CIF:
```
data_Cu2PCl
_cell_length_a 6.266
_cell_length_b 6.266
_cell_length_c 6.266
_cell_angle_alpha 90.00
_cell_angle_beta 90.00
_cell_angle_gamma 90.00
_space_group_name_H-M_alt 'F -4 3 m'
_space_group_IT_number 216
_space_group_name_Hall 'F -4 2 3'
loop_
_atom_site_label
_atom_site_type_symbol
_atom_site_fract_x
_atom_site_fract_y
_atom_site_fract_z
Cu1 Cu 0.000 0.000 0.000
Cu2 Cu 0.250 0.250 0.250
P1 P 0.000 0.000 0.500
Cl1 Cl 0.250 0.250 0.750
```

DOS at the Fermi energy in states/eV per cell: 13.1
Uncorrected formation energy in meV per atom: 739
Total magnetization in μB/cell: 0.00



(9)
DFT (PBE) results for a relaxed structure of Pr8DyEr5.

Cell and atoms, written as CIF:
```
data_Pr8DyEr5
_cell_length_a 9.738
_cell_length_b 9.738
_cell_length_c 10.339
_cell_angle_alpha 90.00
_cell_angle_beta 90.00
_cell_angle_gamma 90.00
_space_group_name_H-M_alt 'I -4'
_space_group_IT_number 82
_space_group_name_Hall 'I -4'
loop_
_atom_site_label
_atom_site_type_symbol
_atom_site_fract_x
_atom_site_fract_y
_atom_site_fract_z
Pr1 Pr 0.068 0.172 0.156
Pr2 Pr 0.090 0.321 0.497
Dy1 Dy 0.000 0.000 0.500
Er1 Er 0.000 0.500 0.250
Er2 Er 0.108 0.298 0.824
```

DOS at the Fermi energy in states/eV per cell: 41.8
ΔE_f in eV/atom: 0.250
Total magnetization in μB/cell: 0.00



(10)
DFT (PBE) results for a relaxed structure of TmAg8.

Cell and atoms, written as CIF:
```
data_TmAg8
_cell_length_a 8.925
_cell_length_b 8.925
_cell_length_c 4.279
_cell_angle_alpha 90.00
_cell_angle_beta 90.00
_cell_angle_gamma 90.00
_space_group_name_H-M_alt 'I 4/m m m'
_space_group_IT_number 139
_space_group_name_Hall '-I 4 2'
loop_
_atom_site_label
_atom_site_type_symbol
_atom_site_fract_x
_atom_site_fract_y
_atom_site_fract_z
Tm1 Tm 0.000 0.000 0.000
Ag1 Ag 0.000 0.336 0.000
Ag2 Ag 0.170 0.170 0.500
```

DOS at the Fermi energy in states/eV per cell: 6.3
ΔE_f in eV/atom: -0.057
Total magnetization in μB/cell: 0.00



(11)
DFT (PBE) results for a relaxed structure of HfAl3Pd4.

Cell and atoms, written as CIF:
```
data_HfAl3Pd4
_cell_length_a 4.4342
_cell_length_b 4.4342
_cell_length_c 22.0274
_cell_angle_alpha 90.00
_cell_angle_beta 90.00
_cell_angle_gamma 120.00
_space_group_name_H-M_alt 'R -3 m'
_space_group_IT_number 166
_space_group_name_Hall '-R 3 2"'
loop_
_atom_site_label
_atom_site_type_symbol
_atom_site_fract_x
_atom_site_fract_y
_atom_site_fract_z
Hf1 Hf 0.0000 0.0000 0.0000
Al1 Al 0.0000 0.0000 0.2501
Al2 Al 0.0000 0.0000 0.5000
Pd1 Pd 0.0000 0.0000 0.1276
Pd2 Pd 0.0000 0.0000 0.3832
```

DOS at the Fermi energy in states/eV per cell: 11.2
ΔE_f in eV/atom: -0.815
Total magnetization in μB/cell: 0.00



(12)
DFT (PBE) results for a relaxed structure of Ta3Rh5.

Cell and atoms, written as CIF:
```
data_Ta3Rh5
_cell_length_a 5.157
_cell_length_b 7.122
_cell_length_c 7.751
_cell_angle_alpha 86.55
_cell_angle_beta 71.59
_cell_angle_gamma 71.36
_space_group_name_H-M_alt 'P 1'
_space_group_IT_number 1
_space_group_name_Hall 'P 1'
loop_
_atom_site_label
_atom_site_type_symbol
_atom_site_fract_x
_atom_site_fract_y
_atom_site_fract_z
Ta1 Ta 0.000 0.000 0.000
Ta2 Ta 0.021 0.582 0.857
Ta3 Ta 0.374 0.588 0.140
Ta4 Ta 0.515 0.991 0.969
Ta5 Ta 0.563 0.926 0.509
Ta6 Ta 0.835 0.265 0.521
Rh1 Rh 0.003 0.910 0.669
Rh2 Rh 0.028 0.334 0.135
Rh3 Rh 0.164 0.947 0.305
Rh4 Rh 0.248 0.238 0.707
Rh5 Rh 0.460 0.574 0.471
Rh6 Rh 0.497 0.702 0.788
Rh7 Rh 0.508 0.213 0.281
Rh8 Rh 0.647 0.313 0.879
Rh9 Rh 0.777 0.742 0.191
Rh10 Rh 0.977 0.579 0.472
```

DOS at the Fermi energy in states/eV per cell: 11.6
ΔE_f in eV/atom: -0.364
Total magnetization in μB/cell: 0.00



(13)
DFT (PBE) results for a relaxed structure of Tb3Al4Ag2.

Cell and atoms, written as CIF:
```
data_Tb3Al4Ag2
_cell_length_a 10.777
_cell_length_b 4.622
_cell_length_c 8.691
_cell_angle_alpha 90.00
_cell_angle_beta 114.74
_cell_angle_gamma 90.00
_space_group_name_H-M_alt 'C 1 2/m 1'
_space_group_IT_number 12
_space_group_name_Hall '-C 2y'
loop_
_atom_site_label
_atom_site_type_symbol
_atom_site_fract_x
_atom_site_fract_y
_atom_site_fract_z
Tb1 Tb 0.000 0.000 0.000
Tb2 Tb 0.173 0.500 0.657
Al1 Al 0.029 0.000 0.366
Al2 Al 0.238 0.500 0.074
Ag1 Ag 0.099 0.500 0.268
```

DOS at the Fermi energy in states/eV per cell: 9.0
ΔE_f in eV/atom: -0.443
Total magnetization in μB/cell: 0.00



(14)
DFT (PBE) results for a relaxed structure of Si2NiAg.

Cell and atoms, written as CIF:
```
data_Si2NiAg
_cell_length_a 6.151
_cell_length_b 6.151
_cell_length_c 6.151
_cell_angle_alpha 90.00
_cell_angle_beta 90.00
_cell_angle_gamma 90.00
_space_group_name_H-M_alt 'F -4 3 m'
_space_group_IT_number 216
_space_group_name_Hall 'F -4 2 3'
loop_
_atom_site_label
_atom_site_type_symbol
_atom_site_fract_x
_atom_site_fract_y
_atom_site_fract_z
Si1 Si 0.000 0.000 0.000
Si2 Si 0.250 0.250 0.250
Ni1 Ni 0.000 0.000 0.500
Ag1 Ag 0.250 0.250 0.750
```

DOS at the Fermi energy in states/eV per cell: 6.9
Uncorrected formation energy in meV per atom: 367
Total magnetization in μB/cell: 0.00



(15)
DFT (PBE) results for a relaxed structure of CaPr4Ho3S8.

Cell and atoms, written as CIF:
```
data_CaPr4Ho3S8
_cell_length_a 7.9478
_cell_length_b 7.9478
_cell_length_c 20.0299
_cell_angle_alpha 90.00
_cell_angle_beta 90.00
_cell_angle_gamma 120.00
_space_group_name_H-M_alt 'R -3 m'
_space_group_IT_number 166
_space_group_name_Hall '-R 3 2"'
loop_
_atom_site_label
_atom_site_type_symbol
_atom_site_fract_x
_atom_site_fract_y
_atom_site_fract_z
Ca1 Ca 0.0000 0.0000 0.0000
Pr1 Pr 0.0000 0.0000 0.5000
Pr2 Pr 0.0000 0.5000 0.5000
Ho1 Ho 0.0000 0.5000 0.0000
S1 S 0.0000 0.0000 0.2571
S2 S 0.0028 0.5014 0.2565
```

DOS at the Fermi energy in states/eV per cell: 22.5
Uncorrected formation energy in meV per atom: -2013
Total magnetization in μB/cell: 0.00



(16)
DFT (PBE) results for a relaxed structure of ErMg5O6.

Cell and atoms, written as CIF:
```
data_ErMg5O6
_cell_length_a 5.469
_cell_length_b 9.486
_cell_length_c 5.451
_cell_angle_alpha 90.00
_cell_angle_beta 109.16
_cell_angle_gamma 90.00
_space_group_name_H-M_alt 'C 1 2/m 1'
_space_group_IT_number 12
_space_group_name_Hall '-C 2y'
loop_
_atom_site_label
_atom_site_type_symbol
_atom_site_fract_x
_atom_site_fract_y
_atom_site_fract_z
Er1 Er 0.000 0.000 0.000
Mg1 Mg 0.000 0.173 0.500
Mg2 Mg 0.000 0.334 0.000
Mg3 Mg 0.000 0.500 0.500
O1 O 0.244 0.500 0.253
O2 O 0.245 0.331 0.746
```

DOS at the Fermi energy in states/eV per cell: 2.9
Uncorrected formation energy in meV per atom: -2559
Total magnetization in μB/cell: 0.00



(17)
DFT (PBE) results for a relaxed structure of AcTl4Pd2.

Cell and atoms, written as CIF:
```
data_AcTl4Pd2
_cell_length_a 4.484
_cell_length_b 18.447
_cell_length_c 4.496
_cell_angle_alpha 90.00
_cell_angle_beta 90.00
_cell_angle_gamma 90.00
_space_group_name_H-M_alt 'C m m m'
_space_group_IT_number 65
_space_group_name_Hall '-C 2 2'
loop_
_atom_site_label
_atom_site_type_symbol
_atom_site_fract_x
_atom_site_fract_y
_atom_site_fract_z
Ac1 Ac 0.000 0.000 0.000
Tl1 Tl 0.000 0.174 0.500
Tl2 Tl 0.000 0.323 0.000
Pd1 Pd 0.000 0.429 0.500
```

DOS at the Fermi energy in states/eV per cell: 4.9
ΔE_f in eV/atom: -0.275
Total magnetization in μB/cell: 0.00



(18)
DFT (PBE) results for a relaxed structure of LaCe2Ge.

Cell and atoms, written as CIF:
```
data_LaCe2Ge
_cell_length_a 3.946
_cell_length_b 3.946
_cell_length_c 7.207
_cell_angle_alpha 90.00
_cell_angle_beta 90.00
_cell_angle_gamma 90.00
_space_group_name_H-M_alt 'P 4/m m m'
_space_group_IT_number 123
_space_group_name_Hall '-P 4 2'
loop_
_atom_site_label
_atom_site_type_symbol
_atom_site_fract_x
_atom_site_fract_y
_atom_site_fract_z
La1 La 0.000 0.000 0.000
Ce1 Ce 0.500 0.500 0.310
Ge1 Ge 0.000 0.000 0.500
```

DOS at the Fermi energy in states/eV per cell: 10.5
ΔE_f in eV/atom: -0.345
Total magnetization in μB/cell: 2.01



Uncorrected energy / eV/atom: -3.18 -5.60 -7.19 -4.07 -3.06 -4.32 -5.72 -3.12 -4.44 -3.09 -6.06 -9.40 -4.28 -4.50 -6.26 -6.08 -3.70 -5.70